# K2TaRe

Crystalline K2TaRe at its relaxed geometry (GGA-PBE, the Alexandria database).

Calculated values
As for the electronic total energy: -21.21 eV per cell. For the volume, the calculation gives 89.91 Å³ per cell. The total magnetic moment comes out at 0.00 μB per cell. The value obtained for the formation energy is 1.322 eV per atom. The calculation puts the excess energy over the best structure of this formula in the dataset at 610 meV/atom. The value obtained for the density is 8.225 Mg/m³. The calculation puts the density of states at the Fermi level at 3.006 states/eV/f.u.

abc: 6.2867 2.8706 5.0182
angles: 83.11 90.00 90.00
Positions (direct):
K1 0.0000 0.0035 0.0040
K2 0.0000 0.4965 0.4960
Re1 0.5000 0.2500 0.2500
Ta1 0.5000 0.7500 0.7500



# Tm4Mg3In

Crystalline Tm4Mg3In at its relaxed geometry (GGA-PBE, the Alexandria database).

Calculated values
As for the electronic total energy: -26.76 eV per cell. For the volume, the calculation gives 209.02 Å³ per cell. The total magnetic moment comes out at 0.00 μB per cell. The value obtained for the formation energy is -0.169 eV per atom. The value obtained for the density is 6.860 Mg/m³. The calculation puts the density of states at the Fermi level at 7.313 states/eV/f.u.

abc: 3.7449 3.7449 14.9042
angles: 90.00 90.00 90.00
Positions (direct):
Mg1 0.5000 0.5000 0.2504
Mg2 0.5000 0.5000 0.5000
Mg3 0.5000 0.5000 0.7496
Tm1 0.0000 0.0000 0.8745
Tm2 0.0000 0.0000 0.1255
Tm3 0.0000 0.0000 0.3730
Tm4 0.0000 0.0000 0.6270
In1 0.5000 0.5000 0.0000



# CaAs2

Crystalline CaAs2 at its relaxed geometry (GGA-PBE, the Alexandria database).

Calculated values
As for the electronic total energy: -26.07 eV per cell. For the volume, the calculation gives 142.42 Å³ per cell. The total magnetic moment comes out at 0.00 μB per cell. The value obtained for the formation energy is -0.578 eV per atom. The value obtained for the density is 4.429 Mg/m³. The calculation puts the density of states at the Fermi level at 0.761 states/eV/f.u.

abc: 5.9007 5.9007 5.9191
angles: 75.72 75.72 45.83
Positions (direct):
Ca1 0.9968 0.9968 0.5346
Ca2 0.2473 0.2473 0.9269
As1 0.9450 0.9450 0.0547
As2 0.3905 0.3905 0.3124
As3 0.6182 0.6182 0.7196
As4 0.6354 0.6354 0.2852



# LiZn2Ga12

Crystalline LiZn2Ga12 at its relaxed geometry (GGA-PBE, the Alexandria database).

Calculated values
As for the electronic total energy: -80.05 eV per cell. For the volume, the calculation gives 591.97 Å³ per cell. The total magnetic moment comes out at 0.00 μB per cell. The value obtained for the formation energy is 0.051 eV per atom. The value obtained for the density is 5.467 Mg/m³. The calculation puts the density of states at the Fermi level at 4.409 states/eV/f.u.

abc: 5.6397 5.6397 18.6119
angles: 90.00 90.00 90.00
Positions (direct):
Li1 0.5000 0.0000 0.0000
Li2 0.0000 0.5000 0.0000
Zn1 0.5000 0.0000 0.2163
Zn2 0.0000 0.5000 0.2163
Zn3 0.0000 0.5000 0.7837
Zn4 0.5000 0.0000 0.7837
Ga1 0.5000 0.5000 0.7888
Ga2 0.0000 0.0000 0.7888
Ga3 0.7497 0.7503 0.8987
Ga4 0.2497 0.7497 0.8987
Ga5 0.0000 0.0000 0.3455
Ga6 0.2503 0.7503 0.1013
Ga7 0.8221 0.3221 0.5636
Ga8 0.5000 0.5000 0.3455
Ga9 0.2503 0.2497 0.8987
Ga10 0.7503 0.7497 0.1013
Ga11 0.3221 0.1779 0.5636
Ga12 0.6779 0.1779 0.4364
Ga13 0.0000 0.0000 0.6545
Ga14 0.1779 0.3221 0.4364
Ga15 0.2497 0.2503 0.1013
Ga16 0.8221 0.6779 0.4364
Ga17 0.6779 0.8221 0.5636
Ga18 0.0000 0.0000 0.2112
Ga19 0.1779 0.6779 0.5636
Ga20 0.5000 0.5000 0.6545
Ga21 0.7503 0.2503 0.8987
Ga22 0.5000 0.5000 0.2112
Ga23 0.3221 0.8221 0.4364
Ga24 0.7497 0.2497 0.1013



# CaAlPbO4

Crystalline CaAlPbO4 at its relaxed geometry (GGA-PBE, the Alexandria database).

Calculated values
As for the electronic total energy: -87.92 eV per cell. For the volume, the calculation gives 193.42 Å³ per cell. The total magnetic moment comes out at 0.00 μB per cell. The value obtained for the density is 5.808 Mg/m³. The calculation puts the density of states at the Fermi level at 2.295 states/eV/f.u.

abc: 6.4871 6.4840 6.4840
angles: 60.43 59.98 59.98
Positions (direct):
Ca1 0.5000 0.0000 0.5000
Ca2 0.0000 0.0000 0.5000
Al1 0.6327 0.6173 0.1173
Al2 0.3673 0.3827 0.8827
Pb1 0.0000 0.0000 0.0000
Pb2 0.0000 0.5000 0.5000
O1 0.7402 0.7450 0.7746
O2 0.2598 0.7254 0.7550
O3 0.7402 0.2746 0.2450
O4 0.2598 0.2550 0.2254
O5 0.2829 0.7401 0.2401
O6 0.7369 0.7401 0.2401
O7 0.2631 0.2599 0.7599
O8 0.7171 0.2599 0.7599



# ScCl

Crystalline ScCl at its relaxed geometry (GGA-PBE, the Alexandria database).

Calculated values
As for the electronic total energy: -21.71 eV per cell. For the volume, the calculation gives 98.92 Å³ per cell. The total magnetic moment comes out at 0.00 μB per cell. The value obtained for the density is 2.700 Mg/m³. The calculation puts the density of states at the Fermi level at 0.563 states/eV/f.u.

abc: 8.9110 8.9110 3.3625
angles: 90.00 90.00 158.26
Positions (direct):
Cl1 0.6094 0.3906 0.7500
Cl2 0.3906 0.6094 0.2500
Sc1 0.8134 0.1866 0.7500
Sc2 0.1866 0.8134 0.2500



# Dy3TlTe2

Crystalline Dy3TlTe2 at its relaxed geometry (GGA-PBE, the Alexandria database).

Calculated values
As for the electronic total energy: -28.48 eV per cell. For the volume, the calculation gives 177.56 Å³ per cell. The total magnetic moment comes out at 0.00 μB per cell. The calculation puts the excess energy over the best structure of this formula in the dataset at 0 meV/atom. The value obtained for the density is 8.857 Mg/m³. The calculation puts the density of states at the Fermi level at 1.008 states/eV/f.u.

abc: 4.2556 6.1890 7.7169
angles: 113.64 106.01 90.00
Positions (direct):
Dy1 0.8358 0.3358 0.1715
Dy2 0.1642 0.6642 0.8285
Dy3 0.5000 0.0000 0.5000
Tl1 0.5000 0.5000 0.5000
Te1 0.8314 0.8314 0.1628
Te2 0.1686 0.1686 0.8372



# MgCr2Pt

Crystalline MgCr2Pt at its relaxed geometry (GGA-PBE, the Alexandria database).

Calculated values
As for the electronic total energy: -25.46 eV per cell. For the volume, the calculation gives 58.33 Å³ per cell. The total magnetic moment comes out at 2.05 μB per cell. The value obtained for the formation energy is 0.356 eV per atom. The value obtained for the density is 9.205 Mg/m³. The calculation puts the density of states at the Fermi level at 5.852 states/eV/f.u.

abc: 9.2337 9.2337 9.2337
angles: 16.94 16.94 16.94
Last column: magnetic moment on the atom in μB.
Positions (direct):
Cr1 0.0036 0.0036 0.0036  0.92
Cr2 0.4964 0.4964 0.4964  0.92
Mg1 0.2500 0.2500 0.2500  -0.01
Pt1 0.7500 0.7500 0.7500  0.07



# MnCo2Pt8

Crystalline MnCo2Pt8 at its relaxed geometry (GGA-PBE, the Alexandria database).

Calculated values
As for the electronic total energy: -73.43 eV per cell. For the volume, the calculation gives 162.63 Å³ per cell. The total magnetic moment comes out at 9.89 μB per cell. The value obtained for the formation energy is -0.157 eV per atom. The value obtained for the density is 17.699 Mg/m³. The calculation puts the density of states at the Fermi level at 13.320 states/eV/f.u.

abc: 3.8925 6.1782 7.2856
angles: 105.00 105.49 90.00
Last column: magnetic moment on the atom in μB.
Positions (direct):
Mn1 0.5000 0.0000 0.0000  3.69
Co1 0.2262 0.6302 0.4525  2.02
Co2 0.7738 0.3698 0.5475  2.02
Pt1 0.5979 0.4543 0.1958  0.30
Pt2 0.3177 0.0830 0.6355  0.25
Pt3 0.1399 0.1928 0.2799  0.31
Pt4 0.0475 0.7287 0.0950  0.21
Pt5 0.8601 0.8072 0.7201  0.31
Pt6 0.6823 0.9170 0.3645  0.25
Pt7 0.4021 0.5457 0.8042  0.30
Pt8 0.9525 0.2713 0.9050  0.21



# Na2TlPb

Crystalline Na2TlPb at its relaxed geometry (GGA-PBE, the Alexandria database).

Calculated values
As for the electronic total energy: -9.14 eV per cell. For the volume, the calculation gives 115.28 Å³ per cell. The total magnetic moment comes out at 0.00 μB per cell. The value obtained for the formation energy is -0.107 eV per atom. The value obtained for the density is 6.591 Mg/m³. The calculation puts the density of states at the Fermi level at 2.311 states/eV/f.u.

abc: 5.4786 5.4786 5.4274
angles: 90.72 118.41 121.08
Positions (direct):
Na1 0.1262 0.8102 0.9365
Na2 0.6248 0.0636 0.6883
Tl1 0.1224 0.3177 0.4401
Pb1 0.6266 0.5585 0.1851



Please write out number 7 again, unchanged.
# Dy3TlTe2

Crystalline Dy3TlTe2 at its relaxed geometry (GGA-PBE, the Alexandria database).

Calculated values
As for the electronic total energy: -28.48 eV per cell. For the volume, the calculation gives 177.56 Å³ per cell. The total magnetic moment comes out at 0.00 μB per cell. The calculation puts the excess energy over the best structure of this formula in the dataset at 0 meV/atom. The value obtained for the density is 8.857 Mg/m³. The calculation puts the density of states at the Fermi level at 1.008 states/eV/f.u.

abc: 4.2556 6.1890 7.7169
angles: 113.64 106.01 90.00
Positions (direct):
Dy1 0.8358 0.3358 0.1715
Dy2 0.1642 0.6642 0.8285
Dy3 0.5000 0.0000 0.5000
Tl1 0.5000 0.5000 0.5000
Te1 0.8314 0.8314 0.1628
Te2 0.1686 0.1686 0.8372



Which value of density does entry 1 give?
8.225 Mg/m³



Look up the density of the fifth one.
5.808 Mg/m³